--- w ---
This record from Alexandria via LeMat-Bulk describes a relaxed structure of LiMoBr6. The functional is PBE-GGA.

Lattice parameters (Å, degrees): 6.8413 12.1250 6.8124 90.00 114.19 90.00
Sites, in units of the cell vectors:
Li 0.0000 0.0000 0.0000
Li 0.5000 0.5000 0.0000
Mo 0.0000 0.5000 0.5000
Mo 0.5000 0.0000 0.5000
Br 0.2170 0.5000 0.2850
Br 0.2411 0.3519 0.7433
Br 0.2411 0.6481 0.7433
Br 0.2589 0.1481 0.2567
Br 0.2589 0.8519 0.2567
Br 0.2830 0.0000 0.7150
Br 0.7170 0.0000 0.2850
Br 0.7411 0.1481 0.7433
Br 0.7411 0.8519 0.7433
Br 0.7589 0.3519 0.2567
Br 0.7589 0.6481 0.2567
Br 0.7830 0.5000 0.7150

Space group = No. 12
Fermi-level density of states = 8.36 states/eV/cell

=====

--- x ---
This record from Alexandria via LeMat-Bulk describes a relaxed structure of LiMoBr6. The functional is PBE-GGA.

Lattice parameters (Å, degrees): 7.0706 7.0706 7.0706 56.10 56.10 56.10
Sites, in units of the cell vectors:
Li 0.0000 0.0000 0.0000
Mo 0.5000 0.5000 0.5000
Br 0.1080 0.4205 0.7294
Br 0.2706 0.8920 0.5795
Br 0.4205 0.7294 0.1080
Br 0.5795 0.2706 0.8920
Br 0.7294 0.1080 0.4205
Br 0.8920 0.5795 0.2706

Space group = No. 148
Fermi-level density of states = 4.70 states/eV/cell

=====

Ranked by calculated energy, most stable first: w, x.

=====

--- w ---
This record from Alexandria via LeMat-Bulk describes a relaxed structure of Li2MoBr. The functional is PBE-GGA.

Lattice parameters (Å, degrees): 6.8418 6.8418 6.8418 90.00 90.00 90.00
Sites, in units of the cell vectors:
Li 0.0000 0.0000 0.0000
Li 0.0000 0.5000 0.5000
Li 0.2500 0.2500 0.2500
Li 0.2500 0.7500 0.7500
Li 0.5000 0.0000 0.5000
Li 0.5000 0.5000 0.0000
Li 0.7500 0.2500 0.7500
Li 0.7500 0.7500 0.2500
Mo 0.2500 0.2500 0.7500
Mo 0.2500 0.7500 0.2500
Mo 0.7500 0.2500 0.2500
Mo 0.7500 0.7500 0.7500
Br 0.0000 0.0000 0.5000
Br 0.0000 0.5000 0.0000
Br 0.5000 0.0000 0.0000
Br 0.5000 0.5000 0.5000

Space group = No. 216
Fermi-level density of states = 8.33 states/eV/cell

=====

--- x ---
This record from Alexandria via LeMat-Bulk describes a relaxed structure of Li2MoBr. The functional is PBE-GGA.

Lattice parameters (Å, degrees): 3.0412 3.1340 15.1254 90.00 90.00 90.00
Sites, in units of the cell vectors:
Li 0.0000 0.0000 0.0000
Li 0.0000 0.5000 0.1514
Li 0.5000 0.0000 0.6514
Li 0.5000 0.5000 0.5000
Mo 0.0000 0.5000 0.7629
Mo 0.5000 0.0000 0.2629
Br 0.0000 0.0000 0.4119
Br 0.5000 0.5000 0.9119

Space group = No. 44
Fermi-level density of states = 3.82 states/eV/cell

=====

Ranked by calculated energy, most stable first: x, w.

=====

--- w ---
This record from Alexandria via LeMat-Bulk describes a relaxed structure of Li6Br3N. The functional is PBE-GGA.

Lattice parameters (Å, degrees): 14.0477 14.0477 14.0477 131.68 131.24 71.08
Sites, in units of the cell vectors:
Li 0.0137 0.0602 0.1804
Li 0.0150 0.0479 0.6767
Li 0.0477 0.3758 0.5396
Li 0.0504 0.5105 0.1740
Li 0.0764 0.8533 0.4936
Li 0.0777 0.8586 0.0074
Li 0.1202 0.4398 0.4534
Li 0.1288 0.6617 0.1767
Li 0.1403 0.4172 0.9936
Li 0.1488 0.6414 0.7191
Li 0.1635 0.1236 0.6740
Li 0.1638 0.1242 0.1719
Li 0.3362 0.5081 0.9604
Li 0.3365 0.0105 0.9602
Li 0.3512 0.0703 0.4926
Li 0.3597 0.3533 0.2769
Li 0.3712 0.5479 0.5328
Li 0.3798 0.8332 0.3196
Li 0.4223 0.4297 0.7809
Li 0.4236 0.9172 0.7769
Li 0.4496 0.6236 0.4602
Li 0.4523 0.9919 0.3281
Li 0.4850 0.1617 0.0328
Li 0.4863 0.6668 0.0466
Li 0.5137 0.3332 0.9534
Li 0.5150 0.8383 0.9672
Li 0.5477 0.0081 0.6719
Li 0.5504 0.3764 0.5398
Li 0.5764 0.0828 0.2231
Li 0.5777 0.5703 0.2191
Li 0.6202 0.1668 0.6804
Li 0.6288 0.4521 0.4672
Li 0.6403 0.6467 0.7231
Li 0.6488 0.9297 0.5074
Li 0.6635 0.9895 0.0398
Li 0.6638 0.4919 0.0396
Li 0.8362 0.8758 0.8281
Li 0.8365 0.8764 0.3260
Li 0.8512 0.3586 0.2809
Li 0.8597 0.5828 0.0064
Li 0.8712 0.3383 0.8233
Li 0.8798 0.5602 0.5466
Li 0.9223 0.1414 0.9926
Li 0.9236 0.1467 0.5064
Li 0.9496 0.4895 0.8260
Li 0.9523 0.6242 0.4604
Li 0.9850 0.9521 0.3233
Li 0.9863 0.9398 0.8196
Br 0.1134 0.3634 0.7500
Br 0.1160 0.8598 0.7209
Br 0.1355 0.8855 0.2500
Br 0.1389 0.3598 0.2438
Br 0.2306 0.2500 0.4806
Br 0.2500 0.2224 0.9724
Br 0.2500 0.7224 0.4724
Br 0.2694 0.7500 0.0194
Br 0.3611 0.6050 0.2209
Br 0.3645 0.6145 0.7500
Br 0.3840 0.1050 0.7438
Br 0.3866 0.1366 0.2500
Br 0.6134 0.8634 0.7500
Br 0.6160 0.8950 0.2562
Br 0.6355 0.3855 0.2500
Br 0.6389 0.3950 0.7791
Br 0.7306 0.2500 0.9806
Br 0.7500 0.2776 0.5276
Br 0.7500 0.7776 0.0276
Br 0.7694 0.7500 0.5194
Br 0.8611 0.6402 0.7562
Br 0.8645 0.1145 0.7500
Br 0.8840 0.1402 0.2791
Br 0.8866 0.6366 0.2500
N 0.0000 0.0000 0.0000
N 0.0000 0.0000 0.5000
N 0.0000 0.5000 0.0000
N 0.0000 0.5000 0.5000
N 0.5000 0.0000 0.0000
N 0.5000 0.0000 0.5000
N 0.5000 0.5000 0.0000
N 0.5000 0.5000 0.5000

Space group = No. 73
Fermi-level density of states = 0.00 states/eV/cell

=====

--- x ---
This record from Alexandria via LeMat-Bulk describes a relaxed structure of Li6Br3N. The functional is PBE-GGA.

Lattice parameters (Å, degrees): 5.8104 5.8104 6.8152 113.61 113.61 87.98
Sites, in units of the cell vectors:
Li 0.0307 0.6776 0.2755
Li 0.1449 0.1449 0.3543
Li 0.3224 0.9693 0.7245
Li 0.6776 0.0307 0.2755
Li 0.8551 0.8551 0.6457
Li 0.9693 0.3224 0.7245
Br 0.2332 0.7668 0.0000
Br 0.5000 0.5000 0.5000
Br 0.7668 0.2332 0.0000
N 0.0000 0.0000 0.5000

Space group = No. 12
Fermi-level density of states = 0.00 states/eV/cell

=====

--- y ---
This record from Alexandria via LeMat-Bulk describes a relaxed structure of Li6Br3N. The functional is PBE-GGA.

Lattice parameters (Å, degrees): 6.3442 6.3442 6.3702 120.14 120.14 89.49
Sites, in units of the cell vectors:
Li 0.0000 0.0000 0.0000
Li 0.0706 0.4998 0.1652
Li 0.1576 0.1576 0.7554
Li 0.4019 0.4019 0.5611
Li 0.4998 0.0706 0.1652
Li 0.5607 0.5607 0.3160
Br 0.0270 0.5268 0.6526
Br 0.5268 0.0270 0.6526
Br 0.7779 0.7779 0.1543
N 0.2805 0.2805 0.1583

Space group = No. 8
Fermi-level density of states = 0.00 states/eV/cell

=====

--- z ---
This record from Alexandria via LeMat-Bulk describes a relaxed structure of Li6Br3N. The functional is PBE-GGA.

Lattice parameters (Å, degrees): 7.0487 6.8613 5.9028 66.55 63.25 50.20
Sites, in units of the cell vectors:
Li 0.0547 0.7027 0.9453
Li 0.2194 0.7806 0.2194
Li 0.2973 0.9453 0.7027
Li 0.7027 0.0547 0.2973
Li 0.7806 0.2194 0.7806
Li 0.9453 0.2973 0.0547
Br 0.2500 0.2500 0.2500
Br 0.5000 0.5000 0.5000
Br 0.7500 0.7500 0.7500
N 0.0000 0.0000 0.0000

Space group = No. 69
Fermi-level density of states = 0.00 states/eV/cell

=====

Ranked by calculated energy, most stable first: w, x, y, z.

=====

--- w ---
This record from Alexandria via LeMat-Bulk describes a relaxed structure of Li3BrN. The functional is PBE-GGA.

Lattice parameters (Å, degrees): 4.0782 4.0782 4.0782 90.00 90.00 90.00
Sites, in units of the cell vectors:
Li 0.0000 0.0000 0.5000
Li 0.0000 0.5000 0.0000
Li 0.5000 0.0000 0.0000
Br 0.5000 0.5000 0.5000
N 0.0000 0.0000 0.0000

Space group = No. 221
Fermi-level density of states = 3.18 states/eV/cell

=====

--- x ---
This record from Alexandria via LeMat-Bulk describes a relaxed structure of Li3BrN. The functional is PBE-GGA.

Lattice parameters (Å, degrees): 6.9400 6.9400 7.3964 100.26 100.26 28.35
Sites, in units of the cell vectors:
Li 0.0658 0.0658 0.2697
Li 0.1905 0.1905 0.5419
Li 0.3156 0.3156 0.8810
Li 0.6844 0.6844 0.1190
Li 0.8095 0.8095 0.4581
Li 0.9342 0.9342 0.7303
Br 0.1229 0.1229 0.8737
Br 0.8771 0.8771 0.1263
N 0.3509 0.3509 0.6298
N 0.6491 0.6491 0.3702

Space group = No. 12
Fermi-level density of states = 2.20 states/eV/cell

=====

Ranked by calculated energy, most stable first: w, x.

=====

--- w ---
This record from Alexandria via LeMat-Bulk describes a relaxed structure of Li3BrN. The functional is PBE-GGA.

Lattice parameters (Å, degrees): 3.5633 4.0349 5.5336 90.00 90.00 90.00
Sites, in units of the cell vectors:
Li 0.0000 0.0000 0.0000
Li 0.5000 0.5000 0.2074
Li 0.5000 0.5000 0.7926
Br 0.5000 0.0000 0.5000
N 0.0000 0.5000 0.0000

Space group = No. 47
Fermi-level density of states = 0.46 states/eV/cell

=====

--- x ---
This record from Alexandria via LeMat-Bulk describes a relaxed structure of Li3BrN. The functional is PBE-GGA.

Lattice parameters (Å, degrees): 4.5991 4.5991 4.5991 90.00 90.00 90.00
Sites, in units of the cell vectors:
Li 0.0000 0.0000 0.5000
Li 0.0000 0.5000 0.0000
Li 0.5000 0.0000 0.0000
Br 0.0000 0.0000 0.0000
N 0.5000 0.5000 0.5000

Space group = No. 221
Fermi-level density of states = 2.16 states/eV/cell

=====

Ranked by calculated energy, most stable first: w, x.

=====

--- w ---
This record from Alexandria via LeMat-Bulk describes a relaxed structure of Li5BrN. The functional is PBE-GGA.

Lattice parameters (Å, degrees): 3.9414 7.4940 9.1940 90.00 90.00 90.00
Sites, in units of the cell vectors:
Li 0.0000 0.0000 0.0000
Li 0.0000 0.2407 0.5000
Li 0.0000 0.5000 0.2890
Li 0.0000 0.5000 0.7110
Li 0.0000 0.7593 0.5000
Li 0.5000 0.0000 0.2110
Li 0.5000 0.0000 0.7890
Li 0.5000 0.2593 0.0000
Li 0.5000 0.5000 0.5000
Li 0.5000 0.7407 0.0000
Br 0.0000 0.5000 0.0000
Br 0.5000 0.0000 0.5000
N 0.0000 0.5000 0.5000
N 0.5000 0.0000 0.0000

Space group = No. 71
Fermi-level density of states = 4.30 states/eV/cell

=====

--- x ---
This record from Alexandria via LeMat-Bulk describes a relaxed structure of Li5BrN. The functional is PBE-GGA.

Lattice parameters (Å, degrees): 7.1591 7.1591 7.1591 121.78 116.90 91.20
Sites, in units of the cell vectors:
Li 0.0000 0.2776 0.2776
Li 0.0000 0.7224 0.7224
Li 0.2153 0.9653 0.2500
Li 0.2376 0.1890 0.0487
Li 0.3597 0.8110 0.5487
Li 0.5000 0.2776 0.7776
Li 0.5000 0.7224 0.2224
Li 0.6403 0.1890 0.4513
Li 0.7624 0.8110 0.9513
Li 0.7847 0.0347 0.7500
Br 0.1216 0.3716 0.7500
Br 0.8784 0.6284 0.2500
N 0.0000 0.0000 0.0000
N 0.5000 0.0000 0.5000

Space group = No. 74
Fermi-level density of states = 3.80 states/eV/cell

=====

Ranked by calculated energy, most stable first: x, w.

=====

--- w ---
This record from Alexandria via LeMat-Bulk describes a relaxed structure of LiBr2N2. The functional is PBE-GGA.

Lattice parameters (Å, degrees): 5.2410 5.2410 8.8775 90.00 90.00 90.00
Sites, in units of the cell vectors:
Li 0.0000 0.0000 0.0000
Li 0.5000 0.5000 0.5000
Br 0.0000 0.5000 0.2500
Br 0.0000 0.5000 0.7500
Br 0.5000 0.0000 0.2500
Br 0.5000 0.0000 0.7500
N 0.0000 0.0000 0.4371
N 0.0000 0.0000 0.5629
N 0.5000 0.5000 0.0629
N 0.5000 0.5000 0.9371

Space group = No. 139
Fermi-level density of states = 4.37 states/eV/cell

=====

--- x ---
This record from Alexandria via LeMat-Bulk describes a relaxed structure of LiBr2N2. The functional is PBE-GGA.

Lattice parameters (Å, degrees): 6.4334 4.5994 10.8368 90.00 97.03 90.00
Sites, in units of the cell vectors:
Li 0.0000 0.0000 0.0000
Li 0.5000 0.5000 0.0000
Br 0.0912 0.5000 0.8838
Br 0.4088 0.0000 0.1162
Br 0.5912 0.0000 0.8838
Br 0.9088 0.5000 0.1162
N 0.0715 0.5000 0.5346
N 0.4285 0.0000 0.4654
N 0.5715 0.0000 0.5346
N 0.9285 0.5000 0.4654

Space group = No. 12

=====

--- y ---
This record from Alexandria via LeMat-Bulk describes a relaxed structure of LiBr2N2. The functional is PBE-GGA.

Lattice parameters (Å, degrees): 6.9470 6.9470 3.5306 90.00 90.00 90.00
Sites, in units of the cell vectors:
Li 0.0000 0.0000 0.0000
Li 0.5000 0.5000 0.0000
Br 0.1746 0.3254 0.5000
Br 0.3254 0.8254 0.5000
Br 0.6746 0.1746 0.5000
Br 0.8254 0.6746 0.5000
N 0.2278 0.7278 0.0000
N 0.2722 0.2278 0.0000
N 0.7278 0.7722 0.0000
N 0.7722 0.2722 0.0000

Space group = No. 127
Fermi-level density of states = 8.23 states/eV/cell

=====

Ranked by calculated energy, most stable first: x, w, y.

=====

--- w ---
This record from Alexandria via LeMat-Bulk describes a relaxed structure of Li7BrN2. The functional is PBE-GGA.

Lattice parameters (Å, degrees): 11.0555 11.0555 11.0555 19.25 19.25 19.25
Sites, in units of the cell vectors:
Li 0.0000 0.0000 0.0000
Li 0.1191 0.1191 0.1191
Li 0.2793 0.2793 0.2793
Li 0.3976 0.3976 0.3976
Li 0.6024 0.6024 0.6024
Li 0.7207 0.7207 0.7207
Li 0.8809 0.8809 0.8809
Br 0.5000 0.5000 0.5000
N 0.0597 0.0597 0.0597
N 0.9403 0.9403 0.9403

Space group = No. 166

=====

--- x ---
This record from Alexandria via LeMat-Bulk describes a relaxed structure of Li7BrN2. The functional is PBE-GGA.

Lattice parameters (Å, degrees): 6.2432 6.2432 3.8811 90.00 90.00 117.33
Sites, in units of the cell vectors:
Li 0.0000 0.0000 0.0000
Li 0.1526 0.4657 0.0000
Li 0.1880 0.8120 0.5000
Li 0.4657 0.1526 0.0000
Li 0.5343 0.8474 0.0000
Li 0.8120 0.1880 0.5000
Li 0.8474 0.5343 0.0000
Br 0.5000 0.5000 0.5000
N 0.1866 0.8134 0.0000
N 0.8134 0.1866 0.0000

Space group = No. 65
Fermi-level density of states = 0.00 states/eV/cell

=====

Ranked by calculated energy, most stable first: x, w.